MgZn2Se3: optimized geometry, GGA-PBE.

Summary:
V: 148 Å³/f.u.
M_tot: 0.000 Bohr magnetons per cell
space-group type: Cc (9)
Fermi-level density of states: 0.0 states/eV/f.u.
ρ: 4.39 g/cm³
ΔE to the lowest computed polymorph: 0 meV per atom
formation energy without anion corrections: -0.885 eV per atom

Cell lengths 7.142, 7.142, 7.122 Å; angles 99.53, 99.53, 120.11 degrees
Fractional positions:
Mg1 0.099 0.927 0.508
Mg2 0.927 0.099 0.008
Zn1 0.594 0.429 0.007
Zn2 0.760 0.264 0.507
Zn3 0.429 0.594 0.507
Zn4 0.264 0.760 0.007
Se1 0.054 0.231 0.391
Se2 0.231 0.054 0.891
Se3 0.885 0.398 0.879
Se4 0.398 0.885 0.379
Se5 0.545 0.710 0.879
Se6 0.710 0.545 0.379

Mg2Zn2Se: optimized geometry, GGA-PBE.

Summary:
V: 105 Å³/f.u.
M_tot: 0.000 Bohr magnetons per cell
space-group type: C2/c (15)
Fermi-level density of states: 1.4 states/eV/f.u.
ρ: 4.07 g/cm³
ΔE to the lowest computed polymorph: 82 meV per atom
formation energy without anion corrections: -0.262 eV per atom

Cell lengths 6.406, 6.406, 8.768 Å; angles 73.88, 73.88, 37.80 degrees
Fractional positions:
Mg1 0.356 0.359 0.701
Mg2 0.641 0.644 0.799
Mg3 0.644 0.641 0.299
Mg4 0.359 0.356 0.201
Zn1 0.195 0.195 0.006
Zn2 0.805 0.805 0.494
Zn3 0.805 0.805 0.994
Zn4 0.195 0.195 0.506
Se1 0.998 0.002 0.750
Se2 0.002 0.998 0.250

MgZn2Se: optimized geometry, GGA-PBE.

Summary:
V: 87 Å³/f.u.
M_tot: 0.000 Bohr magnetons per cell
space-group type: Pmmn (59)
Fermi-level density of states: 0.8 states/eV/f.u.
ρ: 4.48 g/cm³
formation energy without anion corrections: -0.122 eV per atom

Cell lengths 4.583, 4.610, 8.217 Å; angles 90.00, 90.00, 90.00 degrees
Fractional positions:
Mg1 0.500 0.000 0.001
Mg2 0.000 0.500 0.999
Zn1 0.000 0.000 0.192
Zn2 0.500 0.500 0.808
Zn3 0.500 0.000 0.348
Zn4 0.000 0.500 0.652
Se1 0.000 0.500 0.345
Se2 0.500 0.000 0.655

Mg2Zn2Se: optimized geometry, GGA-PBE.

Summary:
V: 103 Å³/f.u.
M_tot: 0.000 Bohr magnetons per cell
space-group type: P4/nmm (129)
Fermi-level density of states: 1.5 states/eV/f.u.
ρ: 4.15 g/cm³
ΔE to the lowest computed polymorph: 309 meV per atom
formation energy without anion corrections: -0.035 eV per atom

Cell lengths 3.885, 3.885, 13.699 Å; angles 90.00, 90.00, 90.00 degrees
Fractional positions:
Mg1 0.000 0.000 0.500
Mg2 0.500 0.500 0.500
Mg3 0.500 0.000 0.845
Mg4 0.000 0.500 0.155
Zn1 0.000 0.000 0.000
Zn2 0.500 0.500 0.000
Zn3 0.500 0.000 0.648
Zn4 0.000 0.500 0.352
Se1 0.500 0.000 0.296
Se2 0.000 0.500 0.704

MgZn2Se9: optimized geometry, GGA-PBE.

Summary:
V: 321 Å³/f.u.
M_tot: 0.327 Bohr magnetons per cell
space-group type: C2/m (12)
Fermi-level density of states: 8.3 states/eV/f.u.
ρ: 4.48 g/cm³
formation energy without anion corrections: -0.152 eV per atom

Cell lengths 5.626, 5.626, 10.346 Å; angles 86.77, 86.77, 79.22 degrees
Last column: magnetic moment on the atom in μB.
Fractional positions:
Zn1 0.510 0.510 0.332  0.00
Zn2 0.490 0.490 0.668  0.00
Mg1 0.000 0.000 0.000  0.00
Se1 0.313 0.313 0.966  0.00
Se2 0.687 0.687 0.034  0.00
Se3 0.000 0.000 0.500  0.04
Se4 0.294 0.294 0.496  0.07
Se5 0.860 0.356 0.179  0.00
Se6 0.356 0.860 0.179  0.00
Se7 0.706 0.706 0.504  0.07
Se8 0.644 0.140 0.821  0.00
Se9 0.140 0.644 0.821  0.00

MgZnSe: optimized geometry, GGA-PBE.

Summary:
V: 64 Å³/f.u.
M_tot: 0.000 Bohr magnetons per cell
space-group type: P6_3mc (186)
Fermi-level density of states: 0.2 states/eV/f.u.
ρ: 4.36 g/cm³
ΔE to the lowest computed polymorph: 150 meV per atom
formation energy without anion corrections: -0.459 eV per atom

Cell lengths 3.801, 3.801, 10.276 Å; angles 90.00, 90.00, 120.00 degrees
Fractional positions:
Mg1 0.333 0.667 0.070
Mg2 0.667 0.333 0.570
Zn1 0.000 0.000 0.264
Zn2 0.000 0.000 0.764
Se1 0.333 0.667 0.415
Se2 0.667 0.333 0.915

Mg2Zn2Se: optimized geometry, GGA-PBE.

Summary:
V: 109 Å³/f.u.
M_tot: 0.000 Bohr magnetons per cell
space-group type: Cmc2_1 (36)
Fermi-level density of states: 0.7 states/eV/f.u.
ρ: 3.95 g/cm³
ΔE to the lowest computed polymorph: 0 meV per atom
formation energy without anion corrections: -0.343 eV per atom

Cell lengths 6.947, 6.947, 7.472 Å; angles 90.00, 90.00, 142.90 degrees
Fractional positions:
Mg1 0.868 0.132 0.971
Mg2 0.132 0.868 0.471
Mg3 0.637 0.363 0.021
Mg4 0.363 0.637 0.521
Zn1 0.765 0.235 0.336
Zn2 0.235 0.765 0.836
Zn3 0.710 0.290 0.669
Zn4 0.290 0.710 0.169
Se1 0.950 0.050 0.637
Se2 0.050 0.950 0.137

Mg3ZnSe2: optimized geometry, GGA-PBE.

Summary:
V: 148 Å³/f.u.
M_tot: 0.000 Bohr magnetons per cell
space-group type: Cmcm (63)
Fermi-level density of states: 1.3 states/eV/f.u.
ρ: 3.33 g/cm³
ΔE to the lowest computed polymorph: 311 meV per atom
formation energy without anion corrections: -0.351 eV per atom

Cell lengths 6.595, 6.587, 7.866 Å; angles 90.00, 90.00, 120.04 degrees
Fractional positions:
Zn1 0.000 0.000 0.000
Zn2 0.000 0.000 0.500
Mg1 0.657 0.829 0.250
Mg2 0.172 0.829 0.250
Mg3 0.171 0.343 0.250
Mg4 0.343 0.171 0.750
Mg5 0.828 0.171 0.750
Mg6 0.829 0.657 0.750
Se1 0.667 0.333 0.990
Se2 0.333 0.667 0.490
Se3 0.333 0.667 0.010
Se4 0.667 0.333 0.510

Mg2ZnSe4: optimized geometry, GGA-PBE.

Summary:
V: 168 Å³/f.u.
M_tot: 0.000 Bohr magnetons per cell
space-group type: R-3m (166)
Fermi-level density of states: 2.9 states/eV/f.u.
ρ: 4.24 g/cm³
ΔE to the lowest computed polymorph: 267 meV per atom
formation energy without anion corrections: -0.407 eV per atom

Cell lengths 10.284, 10.284, 10.284 Å; angles 24.80, 24.80, 24.80 degrees
Fractional positions:
Mg1 0.752 0.752 0.752
Mg2 0.248 0.248 0.248
Zn1 0.000 0.000 0.000
Se1 0.841 0.841 0.841
Se2 0.159 0.159 0.159
Se3 0.612 0.612 0.612
Se4 0.388 0.388 0.388

MgZn2Se: optimized geometry, GGA-PBE.

Summary:
V: 78 Å³/f.u.
M_tot: 0.000 Bohr magnetons per cell
space-group type: P6_3/mmc (194)
Fermi-level density of states: 0.5 states/eV/f.u.
ρ: 4.98 g/cm³
formation energy without anion corrections: -0.079 eV per atom

Cell lengths 4.687, 4.687, 8.199 Å; angles 90.00, 90.00, 120.00 degrees
Fractional positions:
Mg1 0.667 0.333 0.250
Mg2 0.333 0.667 0.750
Zn1 0.667 0.333 0.904
Zn2 0.333 0.667 0.404
Zn3 0.333 0.667 0.096
Zn4 0.667 0.333 0.596
Se1 0.000 0.000 0.000
Se2 0.000 0.000 0.500

MgZn2Se: optimized geometry, GGA-PBE.

Summary:
V: 85 Å³/f.u.
M_tot: 0.000 Bohr magnetons per cell
space-group type: P4/mmm (123)
Fermi-level density of states: 0.6 states/eV/f.u.
ρ: 4.59 g/cm³
formation energy without anion corrections: -0.260 eV per atom

Cell lengths 3.729, 3.728, 6.097 Å; angles 90.00, 90.00, 90.00 degrees
Fractional positions:
Mg1 0.500 0.000 0.500
Se1 0.000 0.500 0.500
Zn1 0.000 0.000 0.000
Zn2 0.500 0.500 0.000

MgZn2Se: optimized geometry, GGA-PBE.

Summary:
V: 79 Å³/f.u.
M_tot: 0.000 Bohr magnetons per cell
space-group type: F-43m (216)
Fermi-level density of states: 0.8 states/eV/f.u.
ρ: 4.90 g/cm³
formation energy without anion corrections: -0.047 eV per atom

Cell lengths 4.824, 4.824, 4.824 Å; angles 60.00, 60.00, 60.00 degrees
Fractional positions:
Mg1 0.500 0.500 0.500
Se1 0.250 0.250 0.250
Zn1 0.000 0.000 0.000
Zn2 0.750 0.750 0.750